! GGA-PBE CoAsCl, relaxed; values from VASP
&SYSTEM
  ibrav = 0, nat = 3, ntyp = 3
/
ATOMIC_SPECIES
As 74.92 As.upf
Co 58.93 Co.upf
Cl 35.45 Cl.upf
CELL_PARAMETERS angstrom
-2.171 -0.207 -3.828
-2.739 -3.356 -0.800
-4.350 0.685 -0.105
ATOMIC_POSITIONS angstrom
As -2.315 -0.719 -1.183
Co -4.630 -1.439 -2.366
Cl 0.000 0.000 0.000
! Magnetic moment = 1.22 μB/cell
! SG = F-43m
! Electronic total energy = -3.692 eV per atom
! Relative energy among the computed polymorphs = 3.03 eV/f.u.